Record 1
Below is a relaxed GaCu2SeS2 crystal, with properties calculated at the PBE-GGA level.

As for the excess energy over the best structure of this formula in the dataset: 3 meV per atom.

The space group is Cc (No. 9) and the conventional cell measures 6.6317, 11.4819 and 6.5409 Å, with angles of 90.00, 108.99 and 90.00 degrees. The asymmetric unit holds Ga at (0.0000, 0.0857, 0.0000), Cu at (0.0065, 0.4080, 0.0049), Cu at (0.0111, 0.2423, 0.4879), Se at (0.3862, 0.0849, 0.1197), S at (0.3747, 0.2508, 0.6209) and S at (0.3747, 0.4159, 0.1200).

---

Record 2
Below is a relaxed GaCu2SeS2 crystal, with properties calculated at the PBE-GGA level.

As for the excess energy over the best structure of this formula in the dataset: 0 meV per atom.

The space group is Cc (No. 9) and the conventional cell measures 6.6125, 11.4019 and 6.5580 Å, with angles of 90.00, 109.31 and 90.00 degrees. The asymmetric unit holds Ga at (0.0000, 0.0925, 0.0000), Cu at (0.4598, 0.0828, 0.4748), Cu at (0.4924, 0.2415, 0.9759), Se at (0.3530, 0.4134, 0.1047), S at (0.3560, 0.2459, 0.6099) and S at (0.3657, 0.0841, 0.1098).

---

Record 3
Below is a relaxed Ga2Cu2Te3S crystal, with properties calculated at the PBE-GGA level.

The calculation puts the final energy at -59.43 eV per cell.

The space group is C2 (No. 5) and the conventional cell measures 13.0613, 5.9220 and 5.9232 Å, with angles of 90.00, 116.31 and 90.00 degrees. The asymmetric unit holds Ga at (0.1186, 0.0000, 0.3887), Cu at (0.1142, 0.5454, 0.8400), Te at (0.0000, 0.2769, 0.0000), Te at (0.2497, 0.2701, 0.7657) and S at (0.0000, 0.7651, 0.5000).